# UTl3I7

UTl3I7 after structural relaxation (GGA-PBE, the Alexandria database).

Summary:
The crystal system is monoclinic. The space-group type is Cm. The total magnetization comes out at 2.00 Bohr magnetons per cell. The calculation puts the total DFT energy (no corrections) at -3.36 eV per atom.

Cell: 8.2692 8.2692 9.2039 Å, 112.40 112.40 79.61°
Element x y z (fractional)
U: 0.0000 0.0000 0.0000
Tl: 0.1189 0.6837 0.4257
Tl: 0.4154 0.4154 0.9575
Tl: 0.6837 0.1189 0.4257
I: 0.0250 0.6327 0.7516
I: 0.0933 0.0933 0.7425
I: 0.2991 0.2991 0.2146
I: 0.3185 0.8422 0.2309
I: 0.6327 0.0250 0.7516
I: 0.8029 0.8029 0.1105
I: 0.8422 0.3185 0.2309